Here is LaY2HgSb after structural relaxation from the Alexandria database. Energies are from PBE.

For the energy relative to the elements, uncorrected, the calculation gives 4.0 eV/f.u.

It has space group P4/mmm (No. 123), with a = 5.817 Å, b = 5.817 Å, c = 5.583 Å, α = 90.00°, β = 90.00° and γ = 90.00°. The asymmetric unit holds La at (0.000, 0.000, 0.000), Y at (0.000, 0.500, 0.000), Hg at (0.000, 0.000, 0.500) and Sb at (0.500, 0.500, 0.500).